TmFeSi2Tc, optimized geometry, DFT PBE-GGA; formation energy from raw total energies = -61.2 kJ/mol of atoms; theoretical density = 7.855 g cm⁻³
1.0
3.978 0.000 0.000
0.000 3.978 0.000
-1.989 -1.989 5.062
Si Tc Tm Fe
2 1 1 1
direct
0.620 0.620 0.241
0.380 0.380 0.759
0.750 0.250 0.500
0.000 0.000 0.000
0.250 0.750 0.500



Ba2CaRu, optimized geometry, DFT PBE-GGA; ΔE_f = 0.3476 eV/atom; theoretical density = 4.605 g cm⁻³
1.0
3.749 0.000 0.000
0.000 3.749 0.000
0.000 0.000 10.670
Ba Ru Ca
2 1 1
direct
0.500 0.500 0.274
0.000 0.000 0.909
0.500 0.500 0.730
0.000 0.000 0.587



MnBe2Al, optimized geometry, DFT PBE-GGA; ΔE_f = 0.0917 eV/atom; theoretical density = 3.700 g cm⁻³
1.0
3.988 0.000 0.000
1.994 3.454 0.000
1.994 1.151 3.256
Be Mn Al
2 1 1
direct
0.000 0.000 0.000
0.250 0.250 0.250
0.750 0.750 0.750
0.500 0.500 0.500



| no. | magnetic moment (μB per cell) |
| --- | --- |
| 1 | 1.919 |
| 2 | 0.602 |
| 3 | 2.910 |